[1]
# GGA-PBE SrLiAl2, relaxed
# ΔH_f (0 K) = 239 meV/atom
data_SrLiAl2
_symmetry_space_group_name_H-M 'R -3 m'
_symmetry_Int_Tables_number 166
_symmetry_space_group_name_Hall '-R 3 2"'
_cell_length_a 3.4073
_cell_length_b 3.4073
_cell_length_c 29.4363
_cell_angle_alpha 90.00
_cell_angle_beta 90.00
_cell_angle_gamma 120.00
loop_
_atom_site_label
_atom_site_type_symbol
_atom_site_fract_x
_atom_site_fract_y
_atom_site_fract_z
_atom_site_occupancy
Sr1 Sr 0.0000 0.0000 0.0000 1
Li1 Li 0.0000 0.0000 0.5000 1
Al1 Al 0.0000 0.0000 0.2408 1

---

[2]
# GGA-PBE HoNp2ScAs4, relaxed
# ΔH_f (0 K) = -1029 meV/atom
data_HoNp2ScAs4
_symmetry_space_group_name_H-M 'P 1 2/m 1'
_symmetry_Int_Tables_number 10
_cell_length_a 7.013
_cell_length_b 4.032
_cell_length_c 7.025
_cell_angle_alpha 90.00
_cell_angle_beta 109.32
_cell_angle_gamma 90.00
loop_
_symmetry_equiv_pos_as_xyz
'x,y,z'
'-x,-y,-z'
'-x,y,-z'
'x,-y,z'
loop_
_atom_site_label
_atom_site_type_symbol
_atom_site_fract_x
_atom_site_fract_y
_atom_site_fract_z
_atom_site_occupancy
Ho1 Ho 0.000 0.000 0.000 1
Np1 Np 0.500 0.000 0.500 1
Np2 Np 0.500 0.500 0.000 1
Sc1 Sc 0.000 0.500 0.500 1
As1 As 0.241 0.000 0.741 1
As2 As 0.246 0.500 0.255 1

---

[3]
# GGA-PBE UInPb2S6, relaxed
# energy relative to the elements, uncorrected = -753 meV/atom
data_UInPb2S6
_symmetry_space_group_name_H-M 'R 3'
_symmetry_Int_Tables_number 146
_symmetry_space_group_name_Hall 'R 3'
_cell_length_a 7.1137
_cell_length_b 7.1137
_cell_length_c 17.9859
_cell_angle_alpha 90.00
_cell_angle_beta 90.00
_cell_angle_gamma 120.00
loop_
_atom_site_label
_atom_site_type_symbol
_atom_site_fract_x
_atom_site_fract_y
_atom_site_fract_z
_atom_site_occupancy
U1 U 0.0000 0.0000 0.0000 1
In1 In 0.0000 0.0000 0.4960 1
Pb1 Pb 0.0000 0.0000 0.2095 1
Pb2 Pb 0.0000 0.0000 0.7066 1
S1 S 0.0093 0.4097 0.2577 1
S2 S 0.0171 0.6099 0.7578 1

---

| no. | uncorrected energy (eV per atom) | spin magnetization (μB/cell) |
| --- | --- | --- |
| 1 | -2.53 | 0.00 |
| 2 | -7.95 | 0.10 |
| 3 | -5.37 | 3.01 |